No. 1
# LaSm2Cd4, relaxed, DFT PBE
data_LaSm2Cd4
_space_group_name_H-M_alt 'I 4/m m m'
_space_group_IT_number 139
_space_group_name_Hall '-I 4 2'
_cell_length_a 5.397
_cell_length_b 5.397
_cell_length_c 14.761
_cell_angle_alpha 90.00
_cell_angle_beta 90.00
_cell_angle_gamma 90.00
loop_
_atom_site_label
_atom_site_type_symbol
_atom_site_fract_x
_atom_site_fract_y
_atom_site_fract_z
La1 La 0.000 0.000 0.000
Sm1 Sm 0.000 0.000 0.258
Cd1 Cd 0.000 0.500 0.121
# Energy relative to the elements (eV/f.u.): -1.05



No. 2
# LiHoNp2S5, relaxed, DFT PBE
data_LiHoNp2S5
_space_group_name_H-M_alt 'P 4/m m m'
_space_group_IT_number 123
_space_group_name_Hall '-P 4 2'
_cell_length_a 4.950
_cell_length_b 4.950
_cell_length_c 9.541
_cell_angle_alpha 90.00
_cell_angle_beta 90.00
_cell_angle_gamma 90.00
loop_
_atom_site_label
_atom_site_type_symbol
_atom_site_fract_x
_atom_site_fract_y
_atom_site_fract_z
Li1 Li 0.000 0.000 0.000
Ho1 Ho 0.000 0.000 0.500
Np1 Np 0.500 0.500 0.281
S1 S 0.000 0.000 0.228
S2 S 0.000 0.500 0.500
S3 S 0.500 0.500 0.000
# Formation energy (no corrections) (eV per atom): -1.056



No. 3
# LiHo2MgSe4, relaxed, DFT PBE
data_LiHo2MgSe4
_space_group_name_H-M_alt 'P 1 2/m 1'
_space_group_IT_number 10
_cell_length_a 6.868
_cell_length_b 3.977
_cell_length_c 6.955
_cell_angle_alpha 90.00
_cell_angle_beta 108.91
_cell_angle_gamma 90.00
loop_
_space_group_symop_operation_xyz
'x,y,z'
'-x,-y,-z'
'-x,y,-z'
'x,-y,z'
loop_
_atom_site_label
_atom_site_type_symbol
_atom_site_fract_x
_atom_site_fract_y
_atom_site_fract_z
Li1 Li 0.000 0.000 0.000
Ho1 Ho 0.000 0.500 0.500
Ho2 Ho 0.500 0.000 0.500
Mg1 Mg 0.500 0.500 0.000
Se1 Se 0.249 0.500 0.239
Se2 Se 0.255 0.000 0.764
# Formation energy (no corrections) (eV per atom): -1.566



No. 4
# Tb2FeCo, relaxed, DFT PBE
data_Tb2FeCo
_space_group_name_H-M_alt 'R 3 m'
_space_group_IT_number 160
_space_group_name_Hall 'R 3 -2"'
_cell_length_a 3.8774
_cell_length_b 3.8774
_cell_length_c 20.9416
_cell_angle_alpha 90.00
_cell_angle_beta 90.00
_cell_angle_gamma 120.00
loop_
_atom_site_label
_atom_site_type_symbol
_atom_site_fract_x
_atom_site_fract_y
_atom_site_fract_z
Tb1 Tb 0.0000 0.0000 0.0000
Tb2 Tb 0.0000 0.0000 0.1806
Fe1 Fe 0.0000 0.0000 0.4210
Co1 Co 0.0000 0.0000 0.7601
# Energy relative to the elements (eV/f.u.): -0.48



> Number 2 is which compound?

LiHoNp2S5